ZnMoRh6 | PBE | relaxed

formation enthalpy at 0 K: -20.6 kJ/mol of atoms
final energy: -7.2405 eV/atom

Structure (CIF):
```
data_ZnMoRh6
_symmetry_space_group_name_H-M 'P 4/m m m'
_symmetry_Int_Tables_number 123
_symmetry_space_group_name_Hall '-P 4 2'
_cell_length_a 3.855
_cell_length_b 3.855
_cell_length_c 7.695
_cell_angle_alpha 90.00
_cell_angle_beta 90.00
_cell_angle_gamma 90.00
loop_
_atom_site_label
_atom_site_type_symbol
_atom_site_fract_x
_atom_site_fract_y
_atom_site_fract_z
_atom_site_occupancy
Zn1 Zn 0.000 0.000 0.000 1
Mo1 Mo 0.000 0.000 0.500 1
Rh1 Rh 0.000 0.500 0.254 1
Rh2 Rh 0.500 0.500 0.000 1
Rh3 Rh 0.500 0.500 0.500 1
```

Pr2InGe2 | PBE | relaxed

formation enthalpy at 0 K: -70.8 kJ/mol of atoms
final energy: -5.0404 eV/atom

Structure (CIF):
```
data_Pr2InGe2
_symmetry_space_group_name_H-M 'P 4/m b m'
_symmetry_Int_Tables_number 127
_symmetry_space_group_name_Hall '-P 4 2ab'
_cell_length_a 7.657
_cell_length_b 7.657
_cell_length_c 4.371
_cell_angle_alpha 90.00
_cell_angle_beta 90.00
_cell_angle_gamma 90.00
loop_
_atom_site_label
_atom_site_type_symbol
_atom_site_fract_x
_atom_site_fract_y
_atom_site_fract_z
_atom_site_occupancy
Pr1 Pr 0.180 0.320 0.000 1
In1 In 0.000 0.000 0.500 1
Ge1 Ge 0.117 0.617 0.500 1
```

Q: What is the formula in the first record?
A: ZnMoRh6

Q: What is the formula in the first record?
A: ZnMoRh6